# RbPmCoF6, optimized geometry, DFT PBE+U
# * E: -5.58 eV/atom
# * calculated volume: 600 Å³/cell
data_RbPmCoF6
_chemical_formula_sum 'Rb4 Pm4 Co4 F24'
_symmetry_space_group_name_H-M 'I m m a'
_symmetry_Int_Tables_number 74
_symmetry_space_group_name_Hall '-I 2b 2'
_cell_length_a 7.412
_cell_length_b 7.793
_cell_length_c 10.390
_cell_angle_alpha 90.00
_cell_angle_beta 90.00
_cell_angle_gamma 90.00
loop_
_atom_site_label
_atom_site_fract_x
_atom_site_fract_y
_atom_site_fract_z
_atom_site_occupancy
Rb1 0.000 0.250 0.089 1
Pm1 0.000 0.000 0.500 1
Co1 0.250 0.250 0.750 1
F1 0.000 0.250 0.382 1
F2 0.000 0.250 0.653 1
F3 0.231 0.059 0.883 1